A geometry-optimized RbVPd2F structure. Source: Alexandria, functional PBE+U.

The space group is P4/mmm (No. 123) and the conventional cell measures 5.177, 5.177 and 4.651 Å, with angles of 90.00, 90.00 and 90.00 degrees. The distinct sites, in fractional coordinates, are Rb at (0.000, 0.000, 0.000), V at (0.500, 0.500, 0.500), Pd at (0.000, 0.500, 0.000) and F at (0.000, 0.000, 0.500).

As for the calculated volume: 24.9 Å³/atom. As for the calculated total energy: -0.108 hartree per atom.